--- one ---
## KHN2 (PBE)

Data for crystalline KHN2 at its relaxed geometry. Values from VASP.

The structure in Quantum ESPRESSO input format:
```
&SYSTEM
  ibrav = 0, nat = 4, ntyp = 3
/
ATOMIC_SPECIES
H 1.01 H.upf
K 39.10 K.upf
N 14.01 N.upf
ATOMIC_POSITIONS crystal
H 0.5000 0.5000 0.5000
K 0.0000 0.0000 0.0000
N 0.8143 0.8143 0.8143
N 0.1857 0.1857 0.1857
CELL_PARAMETERS angstrom
1.8438 0.0000 4.9061
-0.9219 1.5968 4.9061
-0.9219 -1.5968 4.9061
```

Properties
Symmetry: R-3m (166)
DOS(E_F) in states/eV/cell: 1.25

***

--- two ---
## KHN2 (PBE)

Data for crystalline KHN2 at its relaxed geometry. Values from VASP.

The structure in Quantum ESPRESSO input format:
```
&SYSTEM
  ibrav = 0, nat = 4, ntyp = 3
/
ATOMIC_SPECIES
H 1.01 H.upf
K 39.10 K.upf
N 14.01 N.upf
ATOMIC_POSITIONS crystal
H 0.0000 0.0000 0.0000
K 0.5000 0.5000 0.5000
N 0.2500 0.2500 0.2500
N 0.7500 0.7500 0.7500
CELL_PARAMETERS angstrom
4.5409 -0.0630 0.3364
2.0401 -3.0332 2.7156
2.3695 -3.4430 -1.8077
```

Properties
Symmetry: Fm-3m (225)
DOS(E_F) in states/eV/cell: 2.67

***

--- three ---
## KHN2 (PBE)

Data for crystalline KHN2 at its relaxed geometry. Values from VASP.

The structure in Quantum ESPRESSO input format:
```
&SYSTEM
  ibrav = 0, nat = 8, ntyp = 3
/
ATOMIC_SPECIES
H 1.01 H.upf
K 39.10 K.upf
N 14.01 N.upf
ATOMIC_POSITIONS crystal
H 0.5000 0.5000 0.0000
H 0.2500 0.7500 0.5000
K 0.0000 0.0000 0.0000
K 0.7500 0.2500 0.5000
N 0.3751 0.1250 0.2500
N 0.3749 0.6250 0.2500
N 0.3750 0.6249 0.7500
N 0.8750 0.6251 0.7500
CELL_PARAMETERS angstrom
-0.2937 1.3367 -4.7290
0.4053 -4.7148 -1.3578
-3.4056 -2.0214 -2.9224
```

Properties
Symmetry: Fd-3m (227)
DOS(E_F) in states/eV/cell: 5.16

***

Which structure wins on stability? three wins.

***

--- one ---
## K2H4N (PBE)

Data for crystalline K2H4N at its relaxed geometry. Values from VASP.

The structure in Quantum ESPRESSO input format:
```
&SYSTEM
  ibrav = 0, nat = 14, ntyp = 3
/
ATOMIC_SPECIES
K 39.10 K.upf
H 1.01 H.upf
N 14.01 N.upf
ATOMIC_POSITIONS crystal
K 0.8817 0.7280 0.0974
K 0.1183 0.2720 0.9026
K 0.0968 0.1714 0.3386
K 0.9032 0.8286 0.6614
H 0.4918 0.4944 0.2511
H 0.3982 0.2267 0.1026
H 0.6018 0.7733 0.8974
H 0.4868 0.8955 0.2494
H 0.0645 0.4659 0.5240
H 0.5132 0.1045 0.7506
H 0.5082 0.5056 0.7489
H 0.9355 0.5341 0.4760
N 0.5086 0.6863 0.2961
N 0.4914 0.3137 0.7039
CELL_PARAMETERS angstrom
-1.9332 0.8609 -3.5379
0.8323 -3.5738 -1.3013
-9.3367 -6.9181 10.2481
```

Properties
Symmetry: P-1 (2)
DOS(E_F) in states/eV/cell: 0.00

***

--- two ---
## K2H4N (PBE)

Data for crystalline K2H4N at its relaxed geometry. Values from VASP.

The structure in Quantum ESPRESSO input format:
```
&SYSTEM
  ibrav = 0, nat = 7, ntyp = 3
/
ATOMIC_SPECIES
K 39.10 K.upf
H 1.01 H.upf
N 14.01 N.upf
ATOMIC_POSITIONS crystal
K 0.8229 0.3060 0.6183
K 0.1936 0.6957 0.4640
H 0.8117 0.9719 0.8243
H 0.0848 0.9915 0.9389
H 0.6155 0.5415 0.2444
H 0.5149 0.5003 0.1128
N 0.9566 0.9931 0.7973
CELL_PARAMETERS angstrom
-3.8472 4.9174 1.4144
-4.0470 -3.5810 1.8617
6.6122 1.3660 1.7801
```

Properties
Symmetry: P1 (1)
DOS(E_F) in states/eV/cell: 1.99

***

Which structure wins on stability? one wins.

***

--- one ---
## K2HS2NO6 (PBE)

Data for crystalline K2HS2NO6 at its relaxed geometry. Values from VASP.

The structure in Quantum ESPRESSO input format:
```
&SYSTEM
  ibrav = 0, nat = 24, ntyp = 5
/
ATOMIC_SPECIES
K 39.10 K.upf
H 1.01 H.upf
S 32.06 S.upf
N 14.01 N.upf
O 16.00 O.upf
ATOMIC_POSITIONS crystal
K 0.6766 0.9755 0.2117
K 0.7520 0.5510 0.7942
K 0.2480 0.0510 0.7942
K 0.3234 0.4755 0.2117
H 0.0202 0.6616 0.4577
H 0.9798 0.1616 0.4577
S 0.1849 0.9325 0.3175
S 0.2390 0.5623 0.6860
S 0.7610 0.0623 0.6860
S 0.8151 0.4325 0.3175
N 0.1137 0.7318 0.5092
N 0.8863 0.2318 0.5092
O 0.2427 0.0724 0.4068
O 0.3580 0.4697 0.5885
O 0.6420 0.9697 0.5885
O 0.7573 0.5724 0.4068
O 0.3274 0.8756 0.2127
O 0.3300 0.6724 0.7896
O 0.6700 0.1724 0.7896
O 0.6726 0.3756 0.2127
O 0.0275 0.9931 0.1983
O 0.1060 0.4260 0.8049
O 0.8940 0.9260 0.8049
O 0.9725 0.4931 0.1983
CELL_PARAMETERS angstrom
-0.5438 0.1271 -7.6556
0.3839 -7.2926 -0.1483
-6.5853 -3.0504 0.4171
```

Properties
Symmetry: Pc (7)
DOS(E_F) in states/eV/cell: 0.00

***

--- two ---
## K2HS2NO6 (PBE)

Data for crystalline K2HS2NO6 at its relaxed geometry. Values from VASP.

The structure in Quantum ESPRESSO input format:
```
&SYSTEM
  ibrav = 0, nat = 24, ntyp = 5
/
ATOMIC_SPECIES
K 39.10 K.upf
H 1.01 H.upf
S 32.06 S.upf
N 14.01 N.upf
O 16.00 O.upf
ATOMIC_POSITIONS crystal
K 0.6902 0.0026 0.8462
K 0.9802 0.3129 0.6721
K 0.0026 0.6902 0.3462
K 0.3129 0.9802 0.1721
H 0.5023 0.4549 0.6606
H 0.4549 0.5023 0.1606
S 0.2329 0.5766 0.8435
S 0.4000 0.7940 0.6520
S 0.5766 0.2329 0.3435
S 0.7940 0.4000 0.1520
N 0.4198 0.5846 0.7413
N 0.5846 0.4198 0.2413
O 0.8490 0.2567 0.9929
O 0.3126 0.3585 0.8552
O 0.3238 0.9504 0.8000
O 0.0444 0.6763 0.7299
O 0.6090 0.7255 0.6068
O 0.6831 0.2134 0.5230
O 0.2567 0.8490 0.4929
O 0.3585 0.3126 0.3552
O 0.9504 0.3238 0.3000
O 0.6763 0.0444 0.2299
O 0.7255 0.6090 0.1068
O 0.2134 0.6831 0.0230
CELL_PARAMETERS angstrom
7.6000 0.0936 -0.3368
3.7010 6.6386 -0.3368
-0.1950 -0.1162 7.3417
```

Properties
Symmetry: Cc (9)
DOS(E_F) in states/eV/cell: 0.00

***

Which structure wins on stability? two wins.

***

--- one ---
## KReH2N (PBE)

Data for crystalline KReH2N at its relaxed geometry. Values from VASP.

The structure in Quantum ESPRESSO input format:
```
&SYSTEM
  ibrav = 0, nat = 5, ntyp = 4
/
ATOMIC_SPECIES
Re 186.21 Re.upf
K 39.10 K.upf
H 1.01 H.upf
N 14.01 N.upf
ATOMIC_POSITIONS crystal
Re 0.0000 0.0000 0.0000
K 0.5000 0.5000 0.5000
H 0.0000 0.0000 0.5000
H 0.5000 0.0000 0.0000
N 0.0000 0.5000 0.0000
CELL_PARAMETERS angstrom
3.9243 0.0000 0.0000
0.0000 3.8459 0.0000
0.0000 0.0000 3.9243
```

Properties
Symmetry: P4/mmm (123)
DOS(E_F) in states/eV/cell: 2.19

***

--- two ---
## KReH2N (PBE)

Data for crystalline KReH2N at its relaxed geometry. Values from VASP.

The structure in Quantum ESPRESSO input format:
```
&SYSTEM
  ibrav = 0, nat = 5, ntyp = 4
/
ATOMIC_SPECIES
Re 186.21 Re.upf
K 39.10 K.upf
H 1.01 H.upf
N 14.01 N.upf
ATOMIC_POSITIONS crystal
Re 0.0000 0.5000 0.0000
K 0.0000 0.0000 0.0000
H 0.0000 0.0000 0.5000
H 0.5000 0.0000 0.0000
N 0.5000 0.5000 0.5000
CELL_PARAMETERS angstrom
-3.0452 0.3235 0.8723
0.5169 -5.5754 3.8719
0.8984 1.7982 2.4694
```

Properties
Symmetry: P4/mmm (123)
DOS(E_F) in states/eV/cell: 4.10

***

Which structure wins on stability? one wins.

***

--- one ---
## KHS2N (PBE)

Data for crystalline KHS2N at its relaxed geometry. Values from VASP.

The structure in Quantum ESPRESSO input format:
```
&SYSTEM
  ibrav = 0, nat = 5, ntyp = 4
/
ATOMIC_SPECIES
H 1.01 H.upf
K 39.10 K.upf
S 32.06 S.upf
N 14.01 N.upf
ATOMIC_POSITIONS crystal
H 0.0000 0.0000 0.0000
K 0.5000 0.5000 0.5000
S 0.0000 0.5000 0.0000
S 0.5000 0.0000 0.0000
N 0.0000 0.0000 0.5000
CELL_PARAMETERS angstrom
3.8851 0.0000 0.0000
0.0000 3.8851 0.0000
0.0000 0.0000 5.6295
```

Properties
Symmetry: P4/mmm (123)
DOS(E_F) in states/eV/cell: 2.29

***

--- two ---
## KHS2N (PBE)

Data for crystalline KHS2N at its relaxed geometry. Values from VASP.

The structure in Quantum ESPRESSO input format:
```
&SYSTEM
  ibrav = 0, nat = 5, ntyp = 4
/
ATOMIC_SPECIES
H 1.01 H.upf
K 39.10 K.upf
S 32.06 S.upf
N 14.01 N.upf
ATOMIC_POSITIONS crystal
H 0.5000 0.5000 0.5000
K 0.0000 0.0000 0.0000
S 0.0000 0.5000 0.0000
S 0.5000 0.0000 0.0000
N 0.0000 0.0000 0.5000
CELL_PARAMETERS angstrom
6.2933 0.0000 0.0000
0.0000 6.2933 0.0000
0.0000 0.0000 6.1785
```

Properties
Symmetry: P4/mmm (123)
DOS(E_F) in states/eV/cell: 5.28

***

Which structure wins on stability? one wins.

***

--- one ---
## KTe2HN (PBE)

Data for crystalline KTe2HN at its relaxed geometry. Values from VASP.

The structure in Quantum ESPRESSO input format:
```
&SYSTEM
  ibrav = 0, nat = 5, ntyp = 4
/
ATOMIC_SPECIES
H 1.01 H.upf
K 39.10 K.upf
Te 127.60 Te.upf
N 14.01 N.upf
ATOMIC_POSITIONS crystal
H 0.5000 0.5000 0.5000
K 0.0000 0.0000 0.0000
Te 0.0000 0.5000 0.0000
Te 0.5000 0.0000 0.0000
N 0.0000 0.0000 0.5000
CELL_PARAMETERS angstrom
-2.5376 5.4744 1.4869
-5.1399 -2.9081 1.9349
1.8523 -0.3393 4.4104
```

Properties
Symmetry: P4/mmm (123)
DOS(E_F) in states/eV/cell: 9.16

***

--- two ---
## KTe2HN (PBE)

Data for crystalline KTe2HN at its relaxed geometry. Values from VASP.

The structure in Quantum ESPRESSO input format:
```
&SYSTEM
  ibrav = 0, nat = 5, ntyp = 4
/
ATOMIC_SPECIES
H 1.01 H.upf
K 39.10 K.upf
Te 127.60 Te.upf
N 14.01 N.upf
ATOMIC_POSITIONS crystal
H 0.0000 0.0000 0.0000
K 0.5000 0.5000 0.5000
Te 0.0000 0.5000 0.0000
Te 0.5000 0.0000 0.0000
N 0.0000 0.0000 0.5000
CELL_PARAMETERS angstrom
-0.5905 2.7295 3.5206
1.4905 -3.2256 2.7508
5.5767 2.0314 -0.6396
```

Properties
Symmetry: P4/mmm (123)
DOS(E_F) in states/eV/cell: 2.42

***

Which structure wins on stability? two wins.

***

--- one ---
## KNaH (PBE)

Data for crystalline KNaH at its relaxed geometry. Values from VASP.

The structure in Quantum ESPRESSO input format:
```
&SYSTEM
  ibrav = 0, nat = 3, ntyp = 3
/
ATOMIC_SPECIES
Na 22.99 Na.upf
K 39.10 K.upf
H 1.01 H.upf
ATOMIC_POSITIONS crystal
Na 0.0000 0.0000 0.8940
K 0.6667 0.3333 0.4300
H 0.3333 0.6667 0.6760
CELL_PARAMETERS angstrom
3.8034 0.0000 0.0000
-1.9017 3.2938 0.0000
0.0000 0.0000 6.7857
```

Properties
Symmetry: P3m1 (156)
DOS(E_F) in states/eV/cell: 0.81

***

--- two ---
## KNaH (PBE)

Data for crystalline KNaH at its relaxed geometry. Values from VASP.

The structure in Quantum ESPRESSO input format:
```
&SYSTEM
  ibrav = 0, nat = 3, ntyp = 3
/
ATOMIC_SPECIES
Na 22.99 Na.upf
K 39.10 K.upf
H 1.01 H.upf
ATOMIC_POSITIONS crystal
Na 0.3221 0.3221 0.6442
K 0.5615 0.5615 0.1230
H 0.9664 0.9664 0.9327
CELL_PARAMETERS angstrom
3.4513 0.0000 0.0000
0.0000 3.4513 0.0000
-1.7257 -1.7257 6.9217
```

Properties
Symmetry: I4mm (107)
DOS(E_F) in states/eV/cell: 0.51

***

Which structure wins on stability? one wins.

***

--- one ---
## KNaH (PBE)

Data for crystalline KNaH at its relaxed geometry. Values from VASP.

The structure in Quantum ESPRESSO input format:
```
&SYSTEM
  ibrav = 0, nat = 6, ntyp = 3
/
ATOMIC_SPECIES
Na 22.99 Na.upf
K 39.10 K.upf
H 1.01 H.upf
ATOMIC_POSITIONS crystal
Na 0.7838 0.5677 0.2500
Na 0.2162 0.4323 0.7500
K 0.0000 0.0000 0.0000
K 0.0000 0.0000 0.5000
H 0.4206 0.8412 0.2500
H 0.5794 0.1588 0.7500
CELL_PARAMETERS angstrom
3.3943 0.0000 0.0000
-1.6972 6.8245 0.0000
0.0000 0.0000 7.5327
```

Properties
Symmetry: Cmcm (63)
DOS(E_F) in states/eV/cell: 1.59

***

--- two ---
## KNaH (PBE)

Data for crystalline KNaH at its relaxed geometry. Values from VASP.

The structure in Quantum ESPRESSO input format:
```
&SYSTEM
  ibrav = 0, nat = 6, ntyp = 3
/
ATOMIC_SPECIES
K 39.10 K.upf
Na 22.99 Na.upf
H 1.01 H.upf
ATOMIC_POSITIONS crystal
K 0.2494 0.7494 0.6449
K 0.7506 0.2506 0.3551
Na 0.7496 0.2496 0.8971
Na 0.2504 0.7504 0.1029
H 0.2510 0.7509 0.3544
H 0.7490 0.2491 0.6456
CELL_PARAMETERS angstrom
-2.7646 0.1075 -3.0525
-3.0075 -0.8479 2.6854
-1.3102 9.4051 1.5105
```

Properties
Symmetry: C2/m (12)
DOS(E_F) in states/eV/cell: 1.07

***

Which structure wins on stability? two wins.

***

--- one ---
## KNa3H4 (PBE)

Data for crystalline KNa3H4 at its relaxed geometry. Values from VASP.

The structure in Quantum ESPRESSO input format:
```
&SYSTEM
  ibrav = 0, nat = 8, ntyp = 3
/
ATOMIC_SPECIES
K 39.10 K.upf
Na 22.99 Na.upf
H 1.01 H.upf
ATOMIC_POSITIONS crystal
K 0.5000 0.5000 0.5000
Na 0.0000 0.0000 0.5000
Na 0.0000 0.5000 0.0000
Na 0.5000 0.0000 0.0000
H 0.0000 0.0000 0.0000
H 0.5000 0.5000 0.0000
H 0.5000 0.0000 0.5000
H 0.0000 0.5000 0.5000
CELL_PARAMETERS angstrom
-3.2121 -0.3166 3.9061
-3.2483 -2.6103 -2.8827
2.1924 -4.3314 1.4517
```

Properties
Symmetry: Pm-3m (221)
DOS(E_F) in states/eV/cell: 0.00

***

--- two ---
## KNa3H4 (PBE)

Data for crystalline KNa3H4 at its relaxed geometry. Values from VASP.

The structure in Quantum ESPRESSO input format:
```
&SYSTEM
  ibrav = 0, nat = 8, ntyp = 3
/
ATOMIC_SPECIES
K 39.10 K.upf
Na 22.99 Na.upf
H 1.01 H.upf
ATOMIC_POSITIONS crystal
K 0.0000 0.0000 0.0000
Na 0.5000 0.5000 0.0000
Na 0.7500 0.2500 0.5000
Na 0.2500 0.7500 0.5000
H 0.0000 0.5000 0.0000
H 0.5000 0.0000 0.0000
H 0.2684 0.2684 0.5369
H 0.7316 0.7316 0.4631
CELL_PARAMETERS angstrom
4.6578 0.0046 -2.0650
-0.9188 4.5663 -2.0649
-0.0690 -0.0845 6.1312
```

Properties
Symmetry: I4/mmm (139)
DOS(E_F) in states/eV/cell: 0.00

***

Which structure wins on stability? two wins.

***

--- one ---
## KNaH2 (PBE)

Data for crystalline KNaH2 at its relaxed geometry. Values from VASP.

The structure in Quantum ESPRESSO input format:
```
&SYSTEM
  ibrav = 0, nat = 8, ntyp = 3
/
ATOMIC_SPECIES
K 39.10 K.upf
Na 22.99 Na.upf
H 1.01 H.upf
ATOMIC_POSITIONS crystal
K 0.5000 0.0000 0.8297
K 0.0000 0.5000 0.1703
Na 0.5000 0.0000 0.4127
Na 0.0000 0.5000 0.5873
H 0.0000 0.5000 0.8526
H 0.0000 0.0000 0.5000
H 0.5000 0.0000 0.1474
H 0.5000 0.5000 0.5000
CELL_PARAMETERS angstrom
4.2503 0.0000 0.0000
0.0000 4.2503 0.0000
0.0000 0.0000 8.3959
```

Properties
Symmetry: P4/nmm (129)
DOS(E_F) in states/eV/cell: 0.00

***

--- two ---
## KNaH2 (PBE)

Data for crystalline KNaH2 at its relaxed geometry. Values from VASP.

The structure in Quantum ESPRESSO input format:
```
&SYSTEM
  ibrav = 0, nat = 4, ntyp = 3
/
ATOMIC_SPECIES
Na 22.99 Na.upf
K 39.10 K.upf
H 1.01 H.upf
ATOMIC_POSITIONS crystal
Na 0.0000 0.0000 0.0000
K 0.5000 0.5000 0.5000
H 0.2500 0.2500 0.2500
H 0.7500 0.7500 0.7500
CELL_PARAMETERS angstrom
4.4219 -0.9257 -0.3583
1.7323 -3.6281 2.0915
1.3782 -3.5711 -2.4262
```

Properties
Symmetry: Fm-3m (225)
DOS(E_F) in states/eV/cell: 0.00

***

--- three ---
## KNaH2 (PBE)

Data for crystalline KNaH2 at its relaxed geometry. Values from VASP.

The structure in Quantum ESPRESSO input format:
```
&SYSTEM
  ibrav = 0, nat = 16, ntyp = 3
/
ATOMIC_SPECIES
K 39.10 K.upf
Na 22.99 Na.upf
H 1.01 H.upf
ATOMIC_POSITIONS crystal
K 0.8329 0.1907 0.9142
K 0.1671 0.3093 0.4142
K 0.1671 0.8093 0.0858
K 0.8329 0.6907 0.5858
Na 0.3634 0.8559 0.6644
Na 0.6366 0.1441 0.3356
Na 0.6366 0.6441 0.1644
Na 0.3634 0.3559 0.8356
H 0.1223 0.0300 0.7436
H 0.8777 0.4700 0.2436
H 0.8777 0.9700 0.2564
H 0.1223 0.5300 0.7564
H 0.4258 0.2577 0.1276
H 0.4258 0.7577 0.3724
H 0.5742 0.7423 0.8724
H 0.5742 0.2423 0.6276
CELL_PARAMETERS angstrom
6.8916 -0.3849 0.0000
-1.3143 6.1247 0.0000
0.0000 0.0000 7.1456
```

Properties
Symmetry: P2_1/c (14)
DOS(E_F) in states/eV/cell: 0.00

***

--- four ---
## KNaH2 (PBE)

Data for crystalline KNaH2 at its relaxed geometry. Values from VASP.

The structure in Quantum ESPRESSO input format:
```
&SYSTEM
  ibrav = 0, nat = 4, ntyp = 3
/
ATOMIC_SPECIES
Na 22.99 Na.upf
K 39.10 K.upf
H 1.01 H.upf
ATOMIC_POSITIONS crystal
Na 0.0000 0.0000 0.5000
K 0.5000 0.5000 0.0000
H 0.0000 0.0000 0.0000
H 0.5000 0.5000 0.5000
CELL_PARAMETERS angstrom
-1.7845 -2.6949 -1.8851
2.1956 -2.5730 1.6000
-3.4441 -0.4826 3.9502
```

Properties
Symmetry: P4/mmm (123)
DOS(E_F) in states/eV/cell: 0.00

***

Which structure wins on stability? three wins.